# NdMg2TaO6 (PBE, relaxed)
data_NdMg2TaO6
_cell_length_a 6.753
_cell_length_b 7.602
_cell_length_c 10.483
_cell_angle_alpha 90.00
_cell_angle_beta 90.00
_cell_angle_gamma 90.00
_space_group_name_H-M_alt 'I m m a'
_space_group_IT_number 74
_space_group_name_Hall '-I 2b 2'
loop_
_atom_site_label
_atom_site_fract_x
_atom_site_fract_y
_atom_site_fract_z
Nd1 0.000 0.000 0.000
Mg1 0.250 0.250 0.250
Mg2 0.250 0.250 0.750
Ta1 0.000 0.000 0.500
O1 0.000 0.250 0.139
O2 0.000 0.250 0.421
O3 0.215 0.066 0.621
# Fermi-level density of states: 0.00 states/eV/f.u.
# ΔE_f (raw): -2.76 eV per atom

# NdMgTcO6 (PBE, relaxed)
data_NdMgTcO6
_cell_length_a 5.2318
_cell_length_b 5.2318
_cell_length_c 5.0486
_cell_angle_alpha 90.00
_cell_angle_beta 90.00
_cell_angle_gamma 120.00
_space_group_name_H-M_alt 'P 3 1 2'
_space_group_IT_number 149
_space_group_name_Hall 'P 3 2'
loop_
_atom_site_label
_atom_site_fract_x
_atom_site_fract_y
_atom_site_fract_z
Nd1 0.0000 0.0000 0.0000
Mg1 0.3333 0.6667 0.5000
Tc1 0.6667 0.3333 0.5000
O1 0.3776 0.0248 0.7140
# ΔE_f (raw): -2.16 eV per atom

# Nd12MgTl4O3 (PBE, relaxed)
data_Nd12MgTl4O3
_cell_length_a 10.328
_cell_length_b 10.328
_cell_length_c 10.328
_cell_angle_alpha 90.00
_cell_angle_beta 90.00
_cell_angle_gamma 90.00
_space_group_name_H-M_alt 'I m -3 m'
_space_group_IT_number 229
_space_group_name_Hall '-I 4 2 3'
loop_
_atom_site_label
_atom_site_fract_x
_atom_site_fract_y
_atom_site_fract_z
Nd1 0.000 0.000 0.272
Nd2 0.000 0.250 0.500
Mg1 0.000 0.000 0.000
Tl1 0.250 0.250 0.250
O1 0.000 0.000 0.500
# Fermi-level density of states: 15.07 states/eV/f.u.
# ΔE_f (raw): -0.83 eV per atom

# Nd4MgOs (PBE, relaxed)
data_Nd4MgOs
_cell_length_a 9.215
_cell_length_b 13.391
_cell_length_c 6.304
_cell_angle_alpha 90.00
_cell_angle_beta 107.84
_cell_angle_gamma 90.00
_space_group_name_H-M_alt 'C 1 2/c 1'
_space_group_IT_number 15
_space_group_name_Hall '-C 2yc'
loop_
_atom_site_label
_atom_site_fract_x
_atom_site_fract_y
_atom_site_fract_z
Nd1 0.108 0.167 0.048
Nd2 0.224 0.417 0.384
Mg1 0.000 0.381 0.750
Os1 0.000 0.001 0.250
# Fermi-level density of states: 7.58 states/eV/f.u.
# energy above the most stable polymorph in this dataset: 32 kJ/mol of formula units
# energy of formation: -37 kJ/mol of formula units

# Nd8Mg2Os (PBE, relaxed)
data_Nd8Mg2Os
_cell_length_a 17.975
_cell_length_b 5.628
_cell_length_c 7.225
_cell_angle_alpha 90.00
_cell_angle_beta 110.01
_cell_angle_gamma 90.00
_space_group_name_H-M_alt 'C 1 2/m 1'
_space_group_IT_number 12
_space_group_name_Hall '-C 2y'
loop_
_atom_site_label
_atom_site_fract_x
_atom_site_fract_y
_atom_site_fract_z
Nd1 0.015 0.000 0.284
Nd2 0.099 0.500 0.904
Nd3 0.146 0.500 0.429
Nd4 0.195 0.000 0.755
Mg1 0.185 0.000 0.193
Os1 0.000 0.500 0.500
# Fermi-level density of states: 12.62 states/eV/f.u.
# energy of formation: -5 kJ/mol of formula units

# Nd4MgOs (PBE, relaxed)
data_Nd4MgOs
_cell_length_a 14.160
_cell_length_b 14.160
_cell_length_c 14.160
_cell_angle_alpha 90.00
_cell_angle_beta 90.00
_cell_angle_gamma 90.00
_space_group_name_H-M_alt 'F -4 3 m'
_space_group_IT_number 216
_space_group_name_Hall 'F -4 2 3'
loop_
_atom_site_label
_atom_site_fract_x
_atom_site_fract_y
_atom_site_fract_z
Nd1 0.000 0.000 0.189
Nd2 0.060 0.250 0.250
Nd3 0.156 0.156 0.656
Mg1 0.078 0.078 0.422
Os1 0.138 0.138 0.862
# Fermi-level density of states: 6.97 states/eV/f.u.
# energy above the most stable polymorph in this dataset: 0 kJ/mol of formula units
# energy of formation: -69 kJ/mol of formula units

# Nd3MgOs (PBE, relaxed)
data_Nd3MgOs
_cell_length_a 5.573
_cell_length_b 5.573
_cell_length_c 5.573
_cell_angle_alpha 90.00
_cell_angle_beta 90.00
_cell_angle_gamma 90.00
_space_group_name_H-M_alt 'P m -3 m'
_space_group_IT_number 221
_space_group_name_Hall '-P 4 2 3'
loop_
_atom_site_label
_atom_site_fract_x
_atom_site_fract_y
_atom_site_fract_z
Nd1 0.000 0.000 0.500
Mg1 0.500 0.500 0.500
Os1 0.000 0.000 0.000
# Fermi-level density of states: 3.36 states/eV/f.u.
# energy above the most stable polymorph in this dataset: 56 kJ/mol of formula units
# energy of formation: 38 kJ/mol of formula units

# Nd6Mg2Os (PBE, relaxed)
data_Nd6Mg2Os
_cell_length_a 7.013
_cell_length_b 15.709
_cell_length_c 5.094
_cell_angle_alpha 90.00
_cell_angle_beta 90.00
_cell_angle_gamma 90.00
_space_group_name_H-M_alt 'C m m m'
_space_group_IT_number 65
_space_group_name_Hall '-C 2 2'
loop_
_atom_site_label
_atom_site_fract_x
_atom_site_fract_y
_atom_site_fract_z
Nd1 0.240 0.000 0.000
Nd2 0.250 0.146 0.500
Mg1 0.000 0.252 0.000
Os1 0.000 0.000 0.500
# Fermi-level density of states: 6.59 states/eV/f.u.
# energy of formation: 46 kJ/mol of formula units

# Nd3MgOs (PBE, relaxed)
data_Nd3MgOs
_cell_length_a 7.085
_cell_length_b 5.085
_cell_length_c 8.301
_cell_angle_alpha 90.00
_cell_angle_beta 91.88
_cell_angle_gamma 90.00
_space_group_name_H-M_alt 'P 1 21/m 1'
_space_group_IT_number 11
_space_group_name_Hall '-P 2yb'
loop_
_atom_site_label
_atom_site_fract_x
_atom_site_fract_y
_atom_site_fract_z
Nd1 0.005 0.250 0.151
Nd2 0.219 0.250 0.560
Nd3 0.474 0.750 0.848
Mg1 0.284 0.750 0.288
Os1 0.248 0.250 0.883
# Fermi-level density of states: 5.17 states/eV/f.u.
# energy above the most stable polymorph in this dataset: 14 kJ/mol of formula units
# energy of formation: -3 kJ/mol of formula units

# Nd3MgOs (PBE, relaxed)
data_Nd3MgOs
_cell_length_a 6.187
_cell_length_b 6.986
_cell_length_c 7.365
_cell_angle_alpha 90.00
_cell_angle_beta 109.76
_cell_angle_gamma 90.00
_space_group_name_H-M_alt 'P 1 21/m 1'
_space_group_IT_number 11
_space_group_name_Hall '-P 2yb'
loop_
_atom_site_label
_atom_site_fract_x
_atom_site_fract_y
_atom_site_fract_z
Nd1 0.035 0.006 0.268
Nd2 0.451 0.750 0.120
Mg1 0.437 0.750 0.632
Os1 0.200 0.250 0.035
# Fermi-level density of states: 4.84 states/eV/f.u.
# energy above the most stable polymorph in this dataset: 0 kJ/mol of formula units
# energy of formation: -17 kJ/mol of formula units

# PrNdMgOs (PBE, relaxed)
data_PrNdMgOs
_cell_length_a 7.325
_cell_length_b 7.325
_cell_length_c 7.325
_cell_angle_alpha 90.00
_cell_angle_beta 90.00
_cell_angle_gamma 90.00
_space_group_name_H-M_alt 'F -4 3 m'
_space_group_IT_number 216
_space_group_name_Hall 'F -4 2 3'
loop_
_atom_site_label
_atom_site_fract_x
_atom_site_fract_y
_atom_site_fract_z
Pr1 0.000 0.000 0.000
Nd1 0.000 0.000 0.500
Mg1 0.250 0.250 0.750
Os1 0.250 0.250 0.250
# Fermi-level density of states: 3.42 states/eV/f.u.
# energy of formation: 14 kJ/mol of formula units

# NdMgScOs (PBE, relaxed)
data_NdMgScOs
_cell_length_a 6.994
_cell_length_b 6.994
_cell_length_c 6.994
_cell_angle_alpha 90.00
_cell_angle_beta 90.00
_cell_angle_gamma 90.00
_space_group_name_H-M_alt 'F -4 3 m'
_space_group_IT_number 216
_space_group_name_Hall 'F -4 2 3'
loop_
_atom_site_label
_atom_site_fract_x
_atom_site_fract_y
_atom_site_fract_z
Nd1 0.000 0.000 0.000
Mg1 0.250 0.250 0.750
Sc1 0.000 0.000 0.500
Os1 0.250 0.250 0.250
# Fermi-level density of states: 3.12 states/eV/f.u.
# energy of formation: -27 kJ/mol of formula units

| no. | M_tot (Bohr magnetons per cell) |
| --- | --- |
| 1 | 0.000 |
| 2 | 0.000 |
| 3 | 0.000 |
| 4 | 0.000 |
| 5 | 0.000 |
| 6 | 0.000 |
| 7 | 0.000 |
| 8 | 0.000 |
| 9 | 0.000 |
| 10 | 0.000 |
| 11 | 0.000 |
| 12 | 0.000 |